Entry 1:
First-principles (PBE) data for a geometry-optimized ScBe2AuSe structure, as listed in the Alexandria database.

The structure in extended XYZ format:
```
5
Lattice="-4.760 1.465 -0.057 -0.463 -1.684 -4.565 -1.388 -4.440 1.779" Properties=species:S:1:pos:R:3 pbc="T T T"
Sc 0.000 0.000 0.000
Be -0.694 -2.220 0.889
Be -2.380 0.732 -0.029
Au -3.305 -2.330 -1.422
Se -0.232 -0.842 -2.283
```

Computed properties:
The space group is P4/mmm (123). As for the uncorrected formation energy: 1.07 eV/atom.

Entry 2:
First-principles (PBE) data for a geometry-optimized Sr2ScBeAu structure, as listed in the Alexandria database.

The structure in extended XYZ format:
```
5
Lattice="-5.613 -1.752 0.128 0.498 -1.295 4.125 -1.623 5.335 1.871" Properties=species:S:1:pos:R:3 pbc="T T T"
Au 0.249 -0.648 2.062
Sr -2.807 -0.876 0.064
Sr -0.811 2.667 0.936
Be 0.000 0.000 0.000
Sc -3.369 1.144 3.062
```

Computed properties:
The space group is P4/mmm (123). The formation enthalpy at 0 K comes out at 1.10 eV/f.u.

Entry 3:
First-principles (PBE) data for a geometry-optimized Sc2TaBeAu structure, as listed in the Alexandria database.

The structure in extended XYZ format:
```
5
Lattice="-2.311 -4.438 -0.496 3.925 -1.939 -0.941 0.718 -0.921 4.891" Properties=species:S:1:pos:R:3 pbc="T T T"
Sc 0.359 -0.460 2.446
Sc -1.156 -2.219 -0.248
Au 1.166 -3.649 1.727
Be 1.963 -0.969 -0.471
Ta 0.000 0.000 0.000
```

Computed properties:
The space group is P4/mmm (123). The formation enthalpy at 0 K comes out at 4.48 eV/f.u.

Entry 4:
First-principles (PBE) data for a geometry-optimized ScTiBe2Au structure, as listed in the Alexandria database.

The structure in extended XYZ format:
```
5
Lattice="4.592 0.000 0.000 0.000 4.396 0.000 0.000 0.000 4.592" Properties=species:S:1:pos:R:3 pbc="T T T"
Ti 0.000 2.198 0.000
Au 2.296 2.198 2.296
Be 0.000 0.000 2.296
Be 2.296 0.000 0.000
Sc 0.000 0.000 0.000
```

Computed properties:
The space group is P4/mmm (123). The formation enthalpy at 0 K comes out at 7.21 eV/f.u.

Entry 5:
First-principles (PBE) data for a geometry-optimized Sc2BeTlAu structure, as listed in the Alexandria database.

The structure in extended XYZ format:
```
5
Lattice="5.398 0.000 0.000 0.000 4.336 0.000 0.000 0.000 5.398" Properties=species:S:1:pos:R:3 pbc="T T T"
Be 0.000 2.168 0.000
Tl 0.000 0.000 0.000
Sc 0.000 0.000 2.699
Sc 2.699 0.000 0.000
Au 2.699 2.168 2.699
```

Computed properties:
The space group is P4/mmm (123). The formation enthalpy at 0 K comes out at 2.82 eV/f.u.

Entry 6:
First-principles (PBE) data for a geometry-optimized TmScBeAu structure, as listed in the Alexandria database.

The structure in extended XYZ format:
```
4
Lattice="-4.635 -0.918 -0.902 -1.254 -2.318 -4.025 -1.649 -4.513 0.238" Properties=species:S:1:pos:R:3 pbc="T T T"
Sc 0.000 0.000 0.000
Be -5.654 -5.812 -3.517
Au -1.885 -1.937 -1.172
Tm -3.769 -3.875 -2.344
```

Computed properties:
The space group is F-43m (216). The formation enthalpy at 0 K comes out at -1.43 eV/f.u.